[1]
Entry from Alexandria via LeMat-Bulk: an optimized crystal structure of LiYSi (PBE).

Results
energy above the most stable polymorph in this dataset	1.18	eV per formula unit
raw formation energy	-0.22	eV per atom

The structure in CIF format:
```
data_LiYSi
_chemical_formula_sum 'Li2 Y2 Si2'
_space_group_name_H-M_alt 'I m m 2'
_space_group_IT_number 44
_space_group_name_Hall 'I 2 -2'
_cell_length_a 3.358
_cell_length_b 4.357
_cell_length_c 8.362
_cell_angle_alpha 90.00
_cell_angle_beta 90.00
_cell_angle_gamma 90.00
loop_
_atom_site_label
_atom_site_type_symbol
_atom_site_fract_x
_atom_site_fract_y
_atom_site_fract_z
_atom_site_occupancy
Li1 Li 0.000 0.000 0.000 1
Y1 Y 0.000 0.000 0.330 1
Si1 Si 0.000 0.000 0.680 1
```



[2]
Entry from Alexandria via LeMat-Bulk: an optimized crystal structure of Li3YSi (PBE).

Results
energy above the most stable polymorph in this dataset	6.47	eV per formula unit
raw formation energy	1.37	eV per atom

The structure in CIF format:
```
data_Li3YSi
_chemical_formula_sum 'Li3 Y1 Si1'
_space_group_name_H-M_alt 'P m -3 m'
_space_group_IT_number 221
_space_group_name_Hall '-P 4 2 3'
_cell_length_a 5.225
_cell_length_b 5.225
_cell_length_c 5.225
_cell_angle_alpha 90.00
_cell_angle_beta 90.00
_cell_angle_gamma 90.00
loop_
_atom_site_label
_atom_site_type_symbol
_atom_site_fract_x
_atom_site_fract_y
_atom_site_fract_z
_atom_site_occupancy
Li1 Li 0.000 0.000 0.500 1
Y1 Y 0.000 0.000 0.000 1
Si1 Si 0.500 0.500 0.500 1
```



[3]
Entry from Alexandria via LeMat-Bulk: an optimized crystal structure of LiYSi (PBE).

Results
energy above the most stable polymorph in this dataset	1.86	eV per formula unit
raw formation energy	0.01	eV per atom

The structure in CIF format:
```
data_LiYSi
_chemical_formula_sum 'Li1 Y1 Si1'
_space_group_name_H-M_alt 'P -6 m 2'
_space_group_IT_number 187
_space_group_name_Hall 'P -6 2'
_cell_length_a 4.8855
_cell_length_b 4.8855
_cell_length_c 3.3718
_cell_angle_alpha 90.00
_cell_angle_beta 90.00
_cell_angle_gamma 120.00
loop_
_atom_site_label
_atom_site_type_symbol
_atom_site_fract_x
_atom_site_fract_y
_atom_site_fract_z
_atom_site_occupancy
Li1 Li 0.0000 0.0000 0.0000 1
Y1 Y 0.3333 0.6667 0.5000 1
Si1 Si 0.6667 0.3333 0.5000 1
```



[4]
Entry from Alexandria via LeMat-Bulk: an optimized crystal structure of LiYSi (PBE).

Results
energy above the most stable polymorph in this dataset	0.00	eV per formula unit
raw formation energy	-0.61	eV per atom

The structure in CIF format:
```
data_LiYSi
_chemical_formula_sum 'Li3 Y3 Si3'
_space_group_name_H-M_alt 'P -6 2 m'
_space_group_IT_number 189
_space_group_name_Hall 'P -6 -2'
_cell_length_a 7.0143
_cell_length_b 7.0143
_cell_length_c 4.2414
_cell_angle_alpha 90.00
_cell_angle_beta 90.00
_cell_angle_gamma 120.00
loop_
_atom_site_label
_atom_site_type_symbol
_atom_site_fract_x
_atom_site_fract_y
_atom_site_fract_z
_atom_site_occupancy
Li1 Li 0.0000 0.2324 0.0000 1
Y1 Y 0.0000 0.5736 0.5000 1
Si1 Si 0.0000 0.0000 0.5000 1
Si2 Si 0.3333 0.6667 0.0000 1
```



[5]
Entry from Alexandria via LeMat-Bulk: an optimized crystal structure of LiYSi (PBE).

Results
energy above the most stable polymorph in this dataset	2.13	eV per formula unit
raw formation energy	0.10	eV per atom

The structure in CIF format:
```
data_LiYSi
_chemical_formula_sum 'Li1 Y1 Si1'
_space_group_name_H-M_alt 'P 3 m 1'
_space_group_IT_number 156
_space_group_name_Hall 'P 3 -2"'
_cell_length_a 3.3310
_cell_length_b 3.3310
_cell_length_c 7.1538
_cell_angle_alpha 90.00
_cell_angle_beta 90.00
_cell_angle_gamma 120.00
loop_
_atom_site_label
_atom_site_type_symbol
_atom_site_fract_x
_atom_site_fract_y
_atom_site_fract_z
_atom_site_occupancy
Li1 Li 0.0000 0.0000 0.0000 1
Y1 Y 0.3333 0.6667 0.5794 1
Si1 Si 0.6667 0.3333 0.2628 1
```



[6]
Entry from Alexandria via LeMat-Bulk: an optimized crystal structure of LiY4Si (PBE).

Results
raw formation energy	0.52	eV per atom

The structure in CIF format:
```
data_LiY4Si
_chemical_formula_sum 'Li4 Y16 Si4'
_space_group_name_H-M_alt 'F -4 3 m'
_space_group_IT_number 216
_space_group_name_Hall 'F -4 2 3'
_cell_length_a 8.879
_cell_length_b 8.879
_cell_length_c 8.879
_cell_angle_alpha 90.00
_cell_angle_beta 90.00
_cell_angle_gamma 90.00
loop_
_atom_site_label
_atom_site_type_symbol
_atom_site_fract_x
_atom_site_fract_y
_atom_site_fract_z
_atom_site_occupancy
Li1 Li 0.000 0.000 0.000 1
Y1 Y 0.124 0.124 0.376 1
Si1 Si 0.250 0.250 0.750 1
```



[7]
Entry from Alexandria via LeMat-Bulk: an optimized crystal structure of LiYSi (PBE).

Results
energy above the most stable polymorph in this dataset	0.67	eV per formula unit
raw formation energy	-0.39	eV per atom

The structure in CIF format:
```
data_LiYSi
_chemical_formula_sum 'Li4 Y4 Si4'
_space_group_name_H-M_alt 'A m m 2'
_space_group_IT_number 38
_space_group_name_Hall 'A 2 -2'
_cell_length_a 4.510
_cell_length_b 4.247
_cell_length_c 13.732
_cell_angle_alpha 90.00
_cell_angle_beta 90.00
_cell_angle_gamma 90.00
loop_
_atom_site_label
_atom_site_type_symbol
_atom_site_fract_x
_atom_site_fract_y
_atom_site_fract_z
_atom_site_occupancy
Li1 Li 0.000 0.000 0.000 1
Li2 Li 0.000 0.000 0.197 1
Y1 Y 0.500 0.000 0.515 1
Y2 Y 0.500 0.000 0.800 1
Si1 Si 0.000 0.000 0.380 1
Si2 Si 0.500 0.000 0.141 1
```



[8]
Entry from Alexandria via LeMat-Bulk: an optimized crystal structure of LiYSi (PBE).

Results
energy above the most stable polymorph in this dataset	0.38	eV per formula unit
raw formation energy	-0.49	eV per atom

The structure in CIF format:
```
data_LiYSi
_chemical_formula_sum 'Li1 Y1 Si1'
_space_group_name_H-M_alt 'P -6 m 2'
_space_group_IT_number 187
_space_group_name_Hall 'P -6 2'
_cell_length_a 4.4016
_cell_length_b 4.4016
_cell_length_c 3.4924
_cell_angle_alpha 90.00
_cell_angle_beta 90.00
_cell_angle_gamma 120.00
loop_
_atom_site_label
_atom_site_type_symbol
_atom_site_fract_x
_atom_site_fract_y
_atom_site_fract_z
_atom_site_occupancy
Li1 Li 0.0000 0.0000 0.0000 1
Y1 Y 0.3333 0.6667 0.5000 1
Si1 Si 0.6667 0.3333 0.0000 1
```



[9]
Entry from Alexandria via LeMat-Bulk: an optimized crystal structure of LiY2Si2 (PBE).

Results
energy above the most stable polymorph in this dataset	0.00	eV per formula unit
raw formation energy	-0.66	eV per atom

The structure in CIF format:
```
data_LiY2Si2
_chemical_formula_sum 'Li2 Y4 Si4'
_space_group_name_H-M_alt 'P 4/m b m'
_space_group_IT_number 127
_space_group_name_Hall '-P 4 2ab'
_cell_length_a 7.126
_cell_length_b 7.126
_cell_length_c 4.221
_cell_angle_alpha 90.00
_cell_angle_beta 90.00
_cell_angle_gamma 90.00
loop_
_atom_site_label
_atom_site_type_symbol
_atom_site_fract_x
_atom_site_fract_y
_atom_site_fract_z
_atom_site_occupancy
Li1 Li 0.000 0.000 0.000 1
Y1 Y 0.178 0.322 0.500 1
Si1 Si 0.119 0.619 0.000 1
```



[10]
Entry from Alexandria via LeMat-Bulk: an optimized crystal structure of Li2Y3Si4 (PBE).

Results
raw formation energy	-0.62	eV per atom

The structure in CIF format:
```
data_Li2Y3Si4
_chemical_formula_sum 'Li4 Y6 Si8'
_space_group_name_H-M_alt 'C 1 2/m 1'
_space_group_IT_number 12
_space_group_name_Hall '-C 2y'
_cell_length_a 10.554
_cell_length_b 4.181
_cell_length_c 8.185
_cell_angle_alpha 90.00
_cell_angle_beta 106.96
_cell_angle_gamma 90.00
loop_
_atom_site_label
_atom_site_type_symbol
_atom_site_fract_x
_atom_site_fract_y
_atom_site_fract_z
_atom_site_occupancy
Li1 Li 0.158 0.000 0.327 1
Y1 Y 0.000 0.500 0.000 1
Y2 Y 0.144 0.000 0.682 1
Si1 Si 0.069 0.500 0.402 1
Si2 Si 0.217 0.000 0.056 1
```



[11]
Entry from Alexandria via LeMat-Bulk: an optimized crystal structure of Li2YSi (PBE).

Results
raw formation energy	0.21	eV per atom

The structure in CIF format:
```
data_Li2YSi
_chemical_formula_sum 'Li6 Y3 Si3'
_space_group_name_H-M_alt 'R -3 m'
_space_group_IT_number 166
_space_group_name_Hall '-R 3 2"'
_cell_length_a 3.1207
_cell_length_b 3.1207
_cell_length_c 30.2125
_cell_angle_alpha 90.00
_cell_angle_beta 90.00
_cell_angle_gamma 120.00
loop_
_atom_site_label
_atom_site_type_symbol
_atom_site_fract_x
_atom_site_fract_y
_atom_site_fract_z
_atom_site_occupancy
Li1 Li 0.0000 0.0000 0.2363 1
Y1 Y 0.0000 0.0000 0.0000 1
Si1 Si 0.0000 0.0000 0.5000 1
```



[12]
Entry from Alexandria via LeMat-Bulk: an optimized crystal structure of LiY2Si3 (PBE).

Results
raw formation energy	-0.65	eV per atom

The structure in CIF format:
```
data_LiY2Si3
_chemical_formula_sum 'Li8 Y16 Si24'
_space_group_name_H-M_alt 'F m m m'
_space_group_IT_number 69
_space_group_name_Hall '-F 2 2'
_cell_length_a 7.939
_cell_length_b 8.189
_cell_length_c 14.111
_cell_angle_alpha 90.00
_cell_angle_beta 90.00
_cell_angle_gamma 90.00
loop_
_atom_site_label
_atom_site_type_symbol
_atom_site_fract_x
_atom_site_fract_y
_atom_site_fract_z
_atom_site_occupancy
Li1 Li 0.000 0.000 0.166 1
Y1 Y 0.243 0.000 0.500 1
Y2 Y 0.250 0.250 0.250 1
Si1 Si 0.000 0.000 0.334 1
Si2 Si 0.000 0.246 0.084 1
```



[13]
Entry from Alexandria via LeMat-Bulk: an optimized crystal structure of LiYSi (PBE).

Results
energy above the most stable polymorph in this dataset	0.02	eV per formula unit
raw formation energy	-0.61	eV per atom

The structure in CIF format:
```
data_LiYSi
_chemical_formula_sum 'Li4 Y4 Si4'
_space_group_name_H-M_alt 'P n m a'
_space_group_IT_number 62
_space_group_name_Hall '-P 2ac 2n'
_cell_length_a 7.098
_cell_length_b 4.332
_cell_length_c 7.654
_cell_angle_alpha 90.00
_cell_angle_beta 90.00
_cell_angle_gamma 90.00
loop_
_atom_site_label
_atom_site_type_symbol
_atom_site_fract_x
_atom_site_fract_y
_atom_site_fract_z
_atom_site_occupancy
Li1 Li 0.174 0.250 0.076 1
Y1 Y 0.006 0.250 0.714 1
Si1 Si 0.232 0.750 0.907 1
```



[14]
Entry from Alexandria via LeMat-Bulk: an optimized crystal structure of Li2YSi (PBE).

Results
raw formation energy	-0.17	eV per atom

The structure in CIF format:
```
data_Li2YSi
_chemical_formula_sum 'Li2 Y1 Si1'
_space_group_name_H-M_alt 'P 4 m m'
_space_group_IT_number 99
_space_group_name_Hall 'P 4 -2'
_cell_length_a 3.324
_cell_length_b 3.324
_cell_length_c 7.263
_cell_angle_alpha 90.00
_cell_angle_beta 90.00
_cell_angle_gamma 90.00
loop_
_atom_site_label
_atom_site_type_symbol
_atom_site_fract_x
_atom_site_fract_y
_atom_site_fract_z
_atom_site_occupancy
Li1 Li 0.000 0.000 0.000 1
Li2 Li 0.500 0.500 0.215 1
Y1 Y 0.500 0.500 0.659 1
Si1 Si 0.000 0.000 0.400 1
```



[15]
Entry from Alexandria via LeMat-Bulk: an optimized crystal structure of Li2YSi (PBE).

Results
raw formation energy	-0.19	eV per atom

The structure in CIF format:
```
data_Li2YSi
_chemical_formula_sum 'Li2 Y1 Si1'
_space_group_name_H-M_alt 'P 1 2/m 1'
_space_group_IT_number 10
_space_group_name_Hall '-P 2y'
_cell_length_a 3.431
_cell_length_b 4.963
_cell_length_c 4.829
_cell_angle_alpha 90.00
_cell_angle_beta 92.82
_cell_angle_gamma 90.00
loop_
_atom_site_label
_atom_site_type_symbol
_atom_site_fract_x
_atom_site_fract_y
_atom_site_fract_z
_atom_site_occupancy
Li1 Li 0.170 0.000 0.281 1
Y1 Y 0.500 0.500 0.000 1
Si1 Si 0.000 0.500 0.500 1
```



[16]
Entry from Alexandria via LeMat-Bulk: an optimized crystal structure of LiYSi (PBE).

Results
energy above the most stable polymorph in this dataset	0.65	eV per formula unit
raw formation energy	-0.39	eV per atom

The structure in CIF format:
```
data_LiYSi
_chemical_formula_sum 'Li2 Y2 Si2'
_space_group_name_H-M_alt 'P m m m'
_space_group_IT_number 47
_space_group_name_Hall '-P 2 2'
_cell_length_a 3.796
_cell_length_b 4.372
_cell_length_c 7.190
_cell_angle_alpha 90.00
_cell_angle_beta 90.00
_cell_angle_gamma 90.00
loop_
_atom_site_label
_atom_site_type_symbol
_atom_site_fract_x
_atom_site_fract_y
_atom_site_fract_z
_atom_site_occupancy
Li1 Li 0.000 0.000 0.172 1
Y1 Y 0.500 0.000 0.500 1
Y2 Y 0.500 0.500 0.000 1
Si1 Si 0.000 0.500 0.334 1
```



[17]
Entry from Alexandria via LeMat-Bulk: an optimized crystal structure of LiYSi (PBE).

Results
energy above the most stable polymorph in this dataset	0.76	eV per formula unit
raw formation energy	-0.36	eV per atom

The structure in CIF format:
```
data_LiYSi
_chemical_formula_sum 'Li2 Y2 Si2'
_space_group_name_H-M_alt 'P 1 m 1'
_space_group_IT_number 6
_space_group_name_Hall 'P -2y'
_cell_length_a 5.011
_cell_length_b 4.052
_cell_length_c 6.476
_cell_angle_alpha 90.00
_cell_angle_beta 105.94
_cell_angle_gamma 90.00
loop_
_atom_site_label
_atom_site_type_symbol
_atom_site_fract_x
_atom_site_fract_y
_atom_site_fract_z
_atom_site_occupancy
Li1 Li 0.000 0.000 0.000 1
Li2 Li 0.259 0.500 0.262 1
Y1 Y 0.402 0.000 0.760 1
Y2 Y 0.769 0.000 0.377 1
Si1 Si 0.708 0.500 0.051 1
Si2 Si 0.849 0.500 0.715 1
```



[18]
Entry from Alexandria via LeMat-Bulk: an optimized crystal structure of Li3YSi (PBE).

Results
energy above the most stable polymorph in this dataset	0.00	eV per formula unit
raw formation energy	0.08	eV per atom

The structure in CIF format:
```
data_Li3YSi
_chemical_formula_sum 'Li3 Y1 Si1'
_space_group_name_H-M_alt 'P m -3 m'
_space_group_IT_number 221
_space_group_name_Hall '-P 4 2 3'
_cell_length_a 4.637
_cell_length_b 4.637
_cell_length_c 4.637
_cell_angle_alpha 90.00
_cell_angle_beta 90.00
_cell_angle_gamma 90.00
loop_
_atom_site_label
_atom_site_type_symbol
_atom_site_fract_x
_atom_site_fract_y
_atom_site_fract_z
_atom_site_occupancy
Li1 Li 0.000 0.000 0.500 1
Y1 Y 0.500 0.500 0.500 1
Si1 Si 0.000 0.000 0.000 1
```



[19]
Entry from Alexandria via LeMat-Bulk: an optimized crystal structure of LiYSi (PBE).

Results
energy above the most stable polymorph in this dataset	0.77	eV per formula unit
raw formation energy	-0.36	eV per atom

The structure in CIF format:
```
data_LiYSi
_chemical_formula_sum 'Li4 Y4 Si4'
_space_group_name_H-M_alt 'I -4 m 2'
_space_group_IT_number 119
_space_group_name_Hall 'I -4 -2'
_cell_length_a 4.188
_cell_length_b 4.188
_cell_length_c 13.813
_cell_angle_alpha 90.00
_cell_angle_beta 90.00
_cell_angle_gamma 90.00
loop_
_atom_site_label
_atom_site_type_symbol
_atom_site_fract_x
_atom_site_fract_y
_atom_site_fract_z
_atom_site_occupancy
Li1 Li 0.000 0.000 0.085 1
Y1 Y 0.000 0.000 0.500 1
Y2 Y 0.000 0.500 0.250 1
Si1 Si 0.000 0.500 0.664 1
```



[20]
Entry from Alexandria via LeMat-Bulk: an optimized crystal structure of Li2YSi (PBE).

Results
raw formation energy	-0.26	eV per atom

The structure in CIF format:
```
data_Li2YSi
_chemical_formula_sum 'Li2 Y1 Si1'
_space_group_name_H-M_alt 'P 4/m m m'
_space_group_IT_number 123
_space_group_name_Hall '-P 4 2'
_cell_length_a 4.117
_cell_length_b 4.117
_cell_length_c 4.811
_cell_angle_alpha 90.00
_cell_angle_beta 90.00
_cell_angle_gamma 90.00
loop_
_atom_site_label
_atom_site_type_symbol
_atom_site_fract_x
_atom_site_fract_y
_atom_site_fract_z
_atom_site_occupancy
Li1 Li 0.000 0.500 0.000 1
Y1 Y 0.000 0.000 0.500 1
Si1 Si 0.500 0.500 0.500 1
```



| no. | V (Å³/atom) |
| --- | --- |
| 1 | 20.4 |
| 2 | 28.5 |
| 3 | 23.2 |
| 4 | 20.1 |
| 5 | 22.9 |
| 6 | 29.2 |
| 7 | 21.9 |
| 8 | 19.5 |
| 9 | 21.4 |
| 10 | 19.2 |
| 11 | 21.2 |
| 12 | 19.1 |
| 13 | 19.6 |
| 14 | 20.1 |
| 15 | 20.5 |
| 16 | 19.9 |
| 17 | 21.1 |
| 18 | 19.9 |
| 19 | 20.2 |
| 20 | 20.4 |